Record 1
The following is a PBE calculation of an optimized crystal structure of TlIrSe2, from Alexandria.

Unit cell a=3.8752 b=3.8752 c=7.6182 alpha=75.40 beta=75.40 gamma=60.00
Fractional coordinates of all 4 atoms:
Se1 0.5288 0.5288 0.4151
Se2 0.9712 0.9712 0.0849
Tl1 0.7500 0.7500 0.7500
Ir1 0.2500 0.2500 0.2500

**Energy relative to the elements, uncorrected**: -0.267 eV/atom
**Density of states at the Fermi level**: 0.33 states/eV per atom
**Space group**: C2/m (12)

Record 2
The following is a PBE calculation of an optimized crystal structure of Ce3As2Ru, from Alexandria.

Unit cell a=4.0771 b=5.8804 c=7.2347 alpha=113.98 beta=106.37 gamma=90.00
Last column: magnetic moment on the atom in μB.
Fractional coordinates of all 6 atoms:
As1 0.3252 0.8252 0.6504  -0.02
As2 0.6748 0.1748 0.3496  -0.02
Ce1 0.6525 0.6525 0.3050  0.40
Ce2 0.0000 0.0000 0.0000  0.58
Ce3 0.3475 0.3475 0.6950  0.40
Ru1 0.0000 0.5000 0.0000  -0.11

**Density of states at the Fermi level**: 2.06 states/eV per atom
**Space group**: Immm (71)
**Energy relative to the elements**: -0.937 eV/atom

Record 3
The following is a PBE calculation of an optimized crystal structure of Sc2CuMoC, from Alexandria.

Unit cell a=4.4515 b=4.4515 c=4.1092 alpha=90.00 beta=90.00 gamma=90.00
Last column: magnetic moment on the atom in μB.
Fractional coordinates of all 5 atoms:
Sc1 0.5000 0.0000 0.0000  0.02
Sc2 0.0000 0.5000 0.0000  0.02
C1 0.0000 0.0000 0.0000  -0.01
Cu1 0.5000 0.5000 0.5000  0.00
Mo1 0.0000 0.0000 0.5000  0.40

**Density of states at the Fermi level**: 0.98 states/eV per atom
**Space group**: P4/mmm (123)
**Energy relative to the elements**: -0.128 eV/atom

Record 4
The following is a PBE calculation of an optimized crystal structure of Pa2TeI, from Alexandria.

Unit cell a=5.3199 b=5.3199 c=5.3199 alpha=60.00 beta=60.00 gamma=60.00
Last column: magnetic moment on the atom in μB.
Fractional coordinates of all 4 atoms:
Pa1 0.7500 0.7500 0.7500  1.17
Pa2 0.2500 0.2500 0.2500  1.17
Te1 0.5000 0.5000 0.5000  -0.03
I1 0.0000 0.0000 0.0000  -0.02

**Energy relative to the elements, uncorrected**: -0.289 eV/atom
**Density of states at the Fermi level**: 2.28 states/eV per atom
**Space group**: Fm-3m (225)

Record 5
The following is a PBE calculation of an optimized crystal structure of Ag3TeBr, from Alexandria.

Unit cell a=5.3440 b=5.3440 c=5.3440 alpha=90.00 beta=90.00 gamma=90.00
Fractional coordinates of all 5 atoms:
Br1 0.5000 0.5000 0.5000
Ag1 0.5000 0.0000 0.0000
Ag2 0.0000 0.0000 0.5000
Ag3 0.0000 0.5000 0.0000
Te1 0.0000 0.0000 0.0000

**Energy relative to the elements, uncorrected**: 0.047 eV/atom
**Density of states at the Fermi level**: 0.00 states/eV per atom
**Space group**: Pm-3m (221)

Record 6
The following is a PBE calculation of an optimized crystal structure of K2IrPt, from Alexandria.

Unit cell a=5.7142 b=5.7142 c=5.0670 alpha=82.51 beta=82.51 gamma=29.04
Fractional coordinates of all 4 atoms:
K1 0.9983 0.9983 0.0011
K2 0.5017 0.5017 0.4989
Ir1 0.7500 0.7500 0.7500
Pt1 0.2500 0.2500 0.2500

**Density of states at the Fermi level**: 0.30 states/eV per atom
**Space group**: C2/m (12)
**Energy relative to the elements**: 0.550 eV/atom

Record 7
The following is a PBE calculation of an optimized crystal structure of Ac6GeP3Cl2, from Alexandria.

Unit cell a=7.6673 b=7.6673 c=7.7909 alpha=99.46 beta=99.46 gamma=119.99
Fractional coordinates of all 12 atoms:
Ge1 0.0000 0.0000 0.0000
Ac1 0.5870 0.9101 0.7301
Ac2 0.0899 0.4130 0.2699
Ac3 0.7660 0.7660 0.2676
Ac4 0.9101 0.5870 0.7301
Ac5 0.4130 0.0899 0.2699
Ac6 0.2340 0.2340 0.7324
Cl1 0.6667 0.3333 0.0000
Cl2 0.3333 0.6667 0.0000
P1 0.5000 0.5000 0.5000
P2 0.8320 0.1680 0.5000
P3 0.1680 0.8320 0.5000

**Energy relative to the elements, uncorrected**: -1.471 eV/atom
**Density of states at the Fermi level**: 0.41 states/eV per atom
**Space group**: C2/m (12)

Record 8
The following is a PBE calculation of an optimized crystal structure of Ni2HgPdN, from Alexandria.

Unit cell a=3.8579 b=3.8579 c=4.3166 alpha=90.00 beta=90.00 gamma=90.00
Fractional coordinates of all 5 atoms:
Pd1 0.0000 0.0000 0.5000
N1 0.0000 0.0000 0.0000
Hg1 0.5000 0.5000 0.5000
Ni1 0.0000 0.5000 0.0000
Ni2 0.5000 0.0000 0.0000

**Energy relative to the elements, uncorrected**: 0.085 eV/atom
**Density of states at the Fermi level**: 0.72 states/eV per atom
**Space group**: P4/mmm (123)

Record 9
The following is a PBE calculation of an optimized crystal structure of MnTePb, from Alexandria.

Unit cell a=4.5947 b=4.5947 c=4.3230 alpha=90.00 beta=90.00 gamma=120.00
Last column: magnetic moment on the atom in μB.
Fractional coordinates of all 3 atoms:
Mn1 0.0000 0.0000 0.8352  3.55
Pb1 0.6667 0.3333 0.3322  -0.14
Te1 0.3333 0.6667 0.8326  -0.04

**Energy relative to the elements, uncorrected**: 0.148 eV/atom
**Density of states at the Fermi level**: 0.51 states/eV per atom
**Space group**: P3m1 (156)

Record 10
The following is a PBE calculation of an optimized crystal structure of VCdNi2C, from Alexandria.

Unit cell a=4.6462 b=3.9023 c=4.6462 alpha=90.00 beta=90.00 gamma=90.00
Last column: magnetic moment on the atom in μB.
Fractional coordinates of all 5 atoms:
Ni1 0.5000 0.0000 0.0000  0.19
Ni2 0.0000 0.0000 0.5000  0.14
V1 0.5000 0.5000 0.5000  0.02
Cd1 0.0000 0.0000 0.0000  0.00
C1 0.0000 0.5000 0.0000  0.03

**Density of states at the Fermi level**: 1.61 states/eV per atom
**Space group**: P4/mmm (123)
**Energy relative to the elements**: 2.199 eV/atom

Record 11
The following is a PBE calculation of an optimized crystal structure of LiNiN, from Alexandria.

Unit cell a=2.7149 b=8.5260 c=4.7827 alpha=90.00 beta=90.00 gamma=90.00
Fractional coordinates of all 12 atoms:
N1 0.5000 0.5917 0.7500
N2 0.5000 0.4083 0.2500
N3 0.0000 0.0917 0.7500
N4 0.0000 0.9083 0.2500
Ni1 0.0000 0.5000 0.0000
Ni2 0.0000 0.5000 0.5000
Ni3 0.5000 0.0000 0.5000
Ni4 0.5000 0.0000 0.0000
Li1 0.5000 0.7286 0.2500
Li2 0.0000 0.7714 0.7500
Li3 0.0000 0.2286 0.2500
Li4 0.5000 0.2714 0.7500

**Energy relative to the elements, uncorrected**: -0.145 eV/atom
**Density of states at the Fermi level**: 0.35 states/eV per atom
**Space group**: Cmcm (63)

Record 12
The following is a PBE calculation of an optimized crystal structure of RbBa2HPb, from Alexandria.

Unit cell a=5.7606 b=5.7606 c=5.4047 alpha=90.00 beta=90.00 gamma=90.00
Fractional coordinates of all 5 atoms:
H1 0.0000 0.0000 0.0000
Pb1 0.5000 0.5000 0.5000
Ba1 0.5000 0.0000 0.0000
Ba2 0.0000 0.5000 0.0000
Rb1 0.0000 0.0000 0.5000

**Density of states at the Fermi level**: 0.20 states/eV per atom
**Space group**: P4/mmm (123)

Record 13
The following is a PBE calculation of an optimized crystal structure of Li2PmAl2Si2, from Alexandria.

Unit cell a=4.2762 b=4.2659 c=8.1984 alpha=105.11 beta=90.00 gamma=120.08
Fractional coordinates of all 7 atoms:
Al1 0.4380 0.8760 0.3131
Al2 0.5620 0.1240 0.6869
Si1 0.7452 0.4903 0.2340
Si2 0.2548 0.5097 0.7660
Pm1 0.0000 0.0000 0.0000
Li1 0.8556 0.7112 0.5670
Li2 0.1444 0.2888 0.4330

**Energy relative to the elements, uncorrected**: -0.374 eV/atom
**Density of states at the Fermi level**: 0.29 states/eV per atom
**Space group**: C2/m (12)

Record 14
The following is a PBE calculation of an optimized crystal structure of RbAl2AgCl8, from Alexandria.

Unit cell a=6.5530 b=6.5530 c=9.6519 alpha=90.00 beta=90.00 gamma=120.00
Fractional coordinates of all 12 atoms:
Cl1 0.9753 0.6538 0.3195
Cl2 0.0247 0.3462 0.6805
Cl3 0.3333 0.6667 0.9721
Cl4 0.6538 0.6785 0.6805
Cl5 0.6785 0.0247 0.3195
Cl6 0.6667 0.3333 0.0279
Cl7 0.3462 0.3215 0.3195
Cl8 0.3215 0.9753 0.6805
Rb1 0.0000 0.0000 0.0000
Ag1 0.0000 0.0000 0.5000
Al1 0.6667 0.3333 0.2515
Al2 0.3333 0.6667 0.7485

**Energy relative to the elements, uncorrected**: -1.476 eV/atom
**Density of states at the Fermi level**: 0.00 states/eV per atom
**Space group**: P-3 (147)

Record 15
The following is a PBE calculation of an optimized crystal structure of Pm2PaP3, from Alexandria.

Unit cell a=5.7362 b=8.1422 c=7.0480 alpha=106.78 beta=114.01 gamma=90.00
Fractional coordinates of all 12 atoms:
P1 0.1568 0.5785 0.3140
P2 0.1571 0.0785 0.3140
P3 0.8429 0.9215 0.6860
P4 0.5002 0.2500 0.0000
P5 0.4998 0.7500 0.0000
P6 0.8432 0.4215 0.6860
Pm1 0.6687 0.0843 0.3372
Pm2 0.3315 0.4157 0.6628
Pm3 0.6685 0.5843 0.3372
Pm4 0.3313 0.9157 0.6628
Pa1 0.0002 0.2500 0.0000
Pa2 0.9998 0.7500 0.0000

**Density of states at the Fermi level**: 0.69 states/eV per atom
**Space group**: Immm (71)
**Energy relative to the elements**: -1.489 eV/atom

Record 16
The following is a PBE calculation of an optimized crystal structure of RbTc2AuO8, from Alexandria.

Unit cell a=5.8750 b=6.6843 c=7.7102 alpha=61.44 beta=67.61 gamma=63.93
Fractional coordinates of all 12 atoms:
O1 0.3252 0.4254 0.9242
O2 0.3864 0.9627 0.7809
O3 0.1299 0.0373 0.2191
O4 0.8701 0.9627 0.7809
O5 0.6136 0.0373 0.2191
O6 0.1409 0.3844 0.3339
O7 0.6748 0.5746 0.0758
O8 0.8591 0.6156 0.6661
Au1 0.0000 0.0000 0.0000
Tc1 0.2997 0.2257 0.1749
Tc2 0.7003 0.7743 0.8251
Rb1 0.5000 0.5000 0.5000

**Energy relative to the elements, uncorrected**: -1.262 eV/atom
**Space group**: C2/m (12)

Record 17
The following is a PBE calculation of an optimized crystal structure of PrPu3Mn3, from Alexandria.

Unit cell a=6.8063 b=6.8063 c=6.8063 alpha=90.00 beta=90.00 gamma=90.00
Last column: magnetic moment on the atom in μB.
Fractional coordinates of all 14 atoms:
Pr1 0.0000 0.0000 0.0000  0.29
Pr2 0.5000 0.5000 0.5000  0.29
Pu1 0.5000 0.0000 0.2500  4.89
Pu2 0.5000 0.0000 0.7500  4.89
Pu3 0.0000 0.7500 0.5000  4.89
Pu4 0.7500 0.5000 0.0000  4.89
Pu5 0.0000 0.2500 0.5000  4.89
Pu6 0.2500 0.5000 0.0000  4.89
Mn1 0.5000 0.7500 0.0000  -1.38
Mn2 0.2500 0.0000 0.5000  -1.38
Mn3 0.0000 0.5000 0.7500  -1.38
Mn4 0.5000 0.2500 0.0000  -1.38
Mn5 0.7500 0.0000 0.5000  -1.38
Mn6 0.0000 0.5000 0.2500  -1.38

**Density of states at the Fermi level**: 2.12 states/eV per atom
**Space group**: Pm-3n (223)
**Energy relative to the elements**: 0.583 eV/atom

Record 18
The following is a PBE calculation of an optimized crystal structure of TaGaCoRh, from Alexandria.

Unit cell a=4.3310 b=4.3310 c=4.3310 alpha=60.00 beta=60.00 gamma=60.00
Last column: magnetic moment on the atom in μB.
Fractional coordinates of all 4 atoms:
Co1 0.0000 0.0000 0.0000  1.28
Rh1 0.5000 0.5000 0.5000  0.34
Ta1 0.7500 0.7500 0.7500  0.08
Ga1 0.2500 0.2500 0.2500  0.03

**Density of states at the Fermi level**: 0.54 states/eV per atom
**Space group**: F-43m (216)
**Energy relative to the elements**: -0.420 eV/atom

Record 19
The following is a PBE calculation of an optimized crystal structure of K2Li, from Alexandria.

Unit cell a=17.9978 b=17.9978 c=17.9978 alpha=166.17 beta=166.17 gamma=19.61
Fractional coordinates of all 6 atoms:
Li1 0.0000 0.0000 0.0000
Li2 0.7500 0.2500 0.5000
K1 0.4324 0.4324 0.0000
K2 0.3176 0.8176 0.5000
K3 0.5676 0.5676 0.0000
K4 0.1824 0.6824 0.5000

**Density of states at the Fermi level**: 0.77 states/eV per atom
**Space group**: I4_1/amd (141)
**Energy relative to the elements**: 0.138 eV/atom

Record 20
The following is a PBE calculation of an optimized crystal structure of TaCrCd2, from Alexandria.

Unit cell a=5.5782 b=5.5782 c=5.5782 alpha=147.71 beta=127.13 gamma=63.32
Last column: magnetic moment on the atom in μB.
Fractional coordinates of all 4 atoms:
Cd1 0.7337 0.2337 0.5000  -0.01
Cd2 0.0024 0.0024 0.0000  -0.01
Ta1 0.2834 0.7834 0.5000  -0.17
Cr1 0.4805 0.4805 0.0000  0.69

**Density of states at the Fermi level**: 0.62 states/eV per atom
**Space group**: Imm2 (44)
**Energy relative to the elements**: 0.448 eV/atom

Number 1: total energy -4.8163 eV/atom. Number 2: total energy -6.9994 eV/atom. Number 3: total energy -7.4905 eV/atom. Number 4: total energy -6.2098 eV/atom. Number 5: total energy -2.6266 eV/atom. Number 6: total energy -3.7243 eV/atom. Number 7: total energy -5.5706 eV/atom. Number 8: total energy -4.9920 eV/atom. Number 9: total energy -5.1917 eV/atom. Number 10: total energy -3.9653 eV/atom. Number 11: total energy -5.4852 eV/atom. Number 12: total energy -2.6819 eV/atom. Number 13: total energy -4.2186 eV/atom. Number 14: total energy -3.6487 eV/atom. Number 15: total energy -7.3597 eV/atom. Number 16: total energy -6.6489 eV/atom. Number 17: total energy -10.1716 eV/atom. Number 18: total energy -7.7546 eV/atom. Number 19: total energy -1.2313 eV/atom. Number 20: total energy -5.3785 eV/atom.